1.
DFT (PBE-GGA) results for a relaxed YPt3 crystal.

Results
Calculated volume = 71.9 Å³/cell
Spin magnetization = 0.00 μB per atom
E_form = -2.70 eV per formula unit

abc: 3.0385 4.0628 5.8243
angles: 90.00 90.00 90.00
Closest atoms and distances in Å follow each position.
Sites, in units of the cell vectors:
Y: 0.5000 0.5000 0.2500  10 Pt 2.91-2.97, 2 Y 3.04
Pt: 0.0000 0.0000 0.5156  7 Pt 2.73-3.04, 4 Y 2.97
Pt: 0.0000 0.0000 0.9844  7 Pt 2.73-3.04, 4 Y 2.97
Pt: 0.5000 0.5000 0.7500  10 Pt 2.88-3.04, 2 Y 2.91

***

2.
DFT (PBE-GGA) results for a relaxed NaPdI3 crystal.

Results
Calculated volume = 201.2 Å³/cell
Formation energy without anion corrections = 0.317 eV per atom
Spin magnetization = 0.40 μB per atom

abc: 5.8600 5.8600 5.8600
angles: 90.00 90.00 90.00
Closest atoms and distances in Å follow each position.
Sites, in units of the cell vectors:
I: 0.0000 0.0000 0.5000  2 Na 2.93
I: 0.5000 0.0000 0.0000  2 Na 2.93
I: 0.0000 0.5000 0.0000  2 Na 2.93
Na: 0.0000 0.0000 0.0000  6 I 2.93
Pd: 0.5000 0.5000 0.5000  12 I 4.14

***

3.
DFT (PBE-GGA) results for a relaxed KNi2Se crystal.

Results
Calculated volume = 71.1 Å³/cell
Formation energy without anion corrections = 0.581 eV per atom
Spin magnetization = 0.26 μB per atom

abc: 5.7029 5.2326 2.7962
angles: 91.03 75.32 117.59
Closest atoms and distances in Å follow each position.
Sites, in units of the cell vectors:
K: 0.5000 0.0000 0.5000  2 K 2.80, 4 Ni 2.84, 4 Se 2.94-2.99
Se: 0.5000 0.5000 0.0000  2 Se 2.80, 4 Ni 2.84, 4 K 2.94-2.99
Ni: 0.0000 0.0000 0.0000  6 Ni 2.80-2.99, 2 K 2.84, 2 Se 2.84
Ni: 0.0000 0.5000 0.5000  6 Ni 2.80-2.99, 2 Se 2.84, 2 K 2.84

***

4.
DFT (PBE-GGA) results for a relaxed Ce2GdEr crystal.

Results
Calculated volume = 120.8 Å³/cell
Spin magnetization = 1.40 μB per atom
E_form = 0.42 eV per formula unit

abc: 5.0036 4.9126 4.9126
angles: 90.00 90.00 90.00
Closest atoms and distances in Å follow each position.
Sites, in units of the cell vectors:
Gd: 0.5000 0.0000 0.0000  4 Er 3.47, 8 Ce 3.51
Ce: 0.0000 0.5000 0.0000  4 Ce 3.47, 4 Er 3.51, 4 Gd 3.51
Ce: 0.0000 0.0000 0.5000  4 Ce 3.47, 4 Er 3.51, 4 Gd 3.51
Er: 0.5000 0.5000 0.5000  4 Gd 3.47, 8 Ce 3.51

***

Number 1: Fermi-level density of states 4.29 states/eV/cell. Number 2: Fermi-level density of states 9.30 states/eV/cell. Number 3: Fermi-level density of states 5.34 states/eV/cell. Number 4: Fermi-level density of states 10.28 states/eV/cell.